[1]
DFT (SCAN) results for a crystal of AlCu5Si2 relaxed with PBEsol.

Properties
SG: Pbam

a = 3.656 Å, b = 5.170 Å, c = 10.208 Å
α = 90.00°, β = 90.00°, γ = 90.00°
Positions (direct):
Cu 0.000 0.003 0.750
Cu 0.000 0.000 0.000
Cu 0.000 0.500 0.500
Cu 0.500 0.254 0.876
Cu 0.000 0.997 0.250
Cu 0.500 0.746 0.124
Cu 0.000 0.503 0.750
Cu 0.500 0.754 0.624
Cu 0.000 0.497 0.250
Cu 0.500 0.246 0.376
Si 0.500 0.735 0.369
Si 0.500 0.235 0.131
Si 0.500 0.765 0.869
Si 0.500 0.265 0.631
Al 0.000 0.500 0.000
Al 0.000 0.000 0.500

[2]
DFT (SCAN) results for a crystal of RbN2Cl relaxed with PBEsol.

Properties
SG: I-42d

a = 5.733 Å, b = 5.733 Å, c = 5.733 Å
α = 96.85°, β = 116.13°, γ = 116.13°
Positions (direct):
N 0.159 0.284 0.625
N 0.659 0.375 0.534
N 0.841 0.466 0.125
N 0.341 0.875 0.716
Cl 0.000 0.500 0.500
Cl 0.500 0.250 0.750
Rb 0.000 0.000 0.000
Rb 0.500 0.750 0.250

Number 1: final energy -13.04 eV/atom. Number 2: final energy -10.15 eV/atom.